# 1
4
Lattice="0.000 3.749 3.749 3.749 0.000 3.749 3.749 3.749 0.000" Properties=species:S:1:pos:R:3 comment="PmThMgZn, relaxed, DFT PBE" e_form_ev_per_atom=-0.076 energy_ev_per_atom=-3.84 space_group=F-43m pbc="T T T"
Pm 0.000 0.000 0.000
Th 3.749 3.749 3.749
Mg 1.874 1.874 1.874
Zn 5.623 5.623 5.623

***

# 2
8
Lattice="6.129 0.000 0.000 0.000 3.583 0.000 -2.036 0.000 5.917" Properties=species:S:1:pos:R:3 comment="Pr2DyPaN4, relaxed, DFT PBE" raw_formation_energy_ev_per_atom=-1.55 energy_ev_per_atom=-8.67 space_group=P2/m pbc="T T T"
Pr 0.000 0.000 0.000
Pr 3.065 1.791 0.000
Dy -1.018 1.791 2.959
Pa 2.047 0.000 2.959
N 0.099 0.000 4.259
N 1.080 1.791 1.686
N 3.014 1.791 4.231
N 3.994 0.000 1.658

***

# 3
4
Lattice="0.000 3.635 3.635 3.635 0.000 3.635 3.635 3.635 0.000" Properties=species:S:1:pos:R:3 comment="NpPaNbSb, relaxed, DFT PBE" raw_formation_energy_ev_per_atom=0.28 energy_ev_per_atom=-8.87 space_group=F-43m pbc="T T T"
Np 0.000 0.000 0.000
Pa 3.635 3.635 3.635
Nb 5.452 5.452 5.452
Sb 1.817 1.817 1.817

***

# 4
12
Lattice="3.469 -5.797 0.000 3.469 5.797 0.000 0.000 0.000 9.873" Properties=species:S:1:pos:R:3 comment="PmY8Tm3, relaxed, DFT PBE" e_form_ev_per_atom=0.194 energy_ev_per_atom=-5.63 space_group=Cmmm pbc="T T T"
Pm 0.000 0.000 0.000
Y 1.734 0.000 3.102
Y 1.734 0.000 6.772
Y 3.469 2.864 1.862
Y 3.469 2.864 8.011
Y 3.469 -2.864 1.862
Y 3.469 -2.864 8.011
Y 5.204 0.000 3.102
Y 5.204 0.000 6.772
Tm 1.735 2.899 4.937
Tm 1.735 -2.899 4.937
Tm 3.469 0.000 0.000

***

# 5
12
Lattice="8.500 0.000 0.000 0.000 3.341 0.000 0.000 0.000 11.479" Properties=species:S:1:pos:R:3 comment="CaMgZr, relaxed, DFT PBE" e_form_ev_per_atom=0.138 energy_ev_per_atom=-3.91 de_polymorph_mev_per_atom=91 space_group=Pnma pbc="T T T"
Ca 1.447 0.835 1.004
Ca 2.803 2.506 6.744
Ca 5.697 0.835 4.735
Ca 7.053 2.506 10.474
Mg 1.200 0.835 9.095
Mg 3.050 2.506 3.356
Mg 5.450 0.835 8.123
Mg 7.299 2.506 2.384
Zr 0.562 0.835 4.594
Zr 3.688 2.506 10.333
Zr 4.812 0.835 1.145
Zr 7.937 2.506 6.885

***

# 6
44
Lattice="-5.158 5.158 5.096 5.158 -5.158 5.096 5.158 5.158 -5.096" Properties=species:S:1:pos:R:3 comment="Zr4N2O5, relaxed, DFT PBE" raw_formation_energy_ev_per_atom=-2.75 energy_ev_per_atom=-9.63 de_polymorph_mev_per_atom=0 space_group=I4cm pbc="T T T"
Zr 0.000 0.000 0.000
Zr 4.842 2.637 -2.568
Zr 7.513 2.355 -0.252
Zr 2.521 -0.316 2.529
Zr 2.355 2.803 -0.252
Zr 2.637 5.474 -2.568
Zr 5.158 0.000 4.733
Zr 0.316 2.521 2.529
Zr 0.000 0.000 5.096
Zr 5.474 2.637 2.529
Zr 2.803 2.355 4.845
Zr 2.637 4.842 2.529
Zr -2.355 2.803 4.845
Zr 2.521 0.316 7.625
Zr 0.000 5.158 4.733
Zr -0.316 2.521 7.625
N 3.750 1.408 -1.158
N 6.296 1.138 1.097
N 3.750 -1.408 3.939
N 1.138 4.020 1.097
N 1.408 6.566 -1.158
N 4.020 1.138 6.194
N 1.408 3.750 3.939
N -1.138 4.020 6.194
O 8.773 -1.206 1.201
O 6.227 -3.745 3.797
O 6.417 -1.259 3.247
O 1.543 1.206 1.201
O 6.227 3.745 -1.299
O -1.206 1.543 1.201
O 3.745 4.089 -1.299
O 3.899 1.259 3.247
O 3.952 3.615 1.201
O 1.413 1.069 3.797
O 1.543 -1.206 6.298
O -1.069 1.413 3.797
O -1.259 3.899 3.247
O 3.615 6.364 1.201
O 4.089 3.745 3.797
O 1.206 1.543 6.298
O -3.745 4.089 3.797
O 1.259 6.417 3.247
O 1.206 8.773 1.201
O 3.745 6.227 3.797

***

# 7
12
Lattice="4.920 0.000 0.000 0.000 4.920 0.000 0.000 0.000 14.320" Properties=species:S:1:pos:R:3 comment="CaAc2Sn9, relaxed, DFT PBE" e_form_ev_per_atom=-0.464 energy_ev_per_atom=-4.32 space_group=P4/mmm pbc="T T T"
Ca 0.000 0.000 0.000
Ac 0.000 0.000 4.739
Ac 0.000 0.000 9.581
Sn 0.000 2.460 2.258
Sn 0.000 2.460 7.160
Sn 0.000 2.460 12.062
Sn 2.460 0.000 2.258
Sn 2.460 0.000 7.160
Sn 2.460 0.000 12.062
Sn 2.460 2.460 0.000
Sn 2.460 2.460 4.709
Sn 2.460 2.460 9.611

***

# 8
5
Lattice="3.828 0.000 0.000 0.000 3.828 0.000 0.000 0.000 5.008" Properties=species:S:1:pos:R:3 comment="AsWSeN2, relaxed, DFT PBE" raw_formation_energy_ev_per_atom=1.81 energy_ev_per_atom=-5.74 de_polymorph_mev_per_atom=1237 space_group=P4/mmm pbc="T T T"
As 0.000 0.000 0.000
W 1.914 1.914 2.504
Se 0.000 0.000 2.504
N 0.000 1.914 0.000
N 1.914 0.000 0.000